*w*
# PuTiMn2 PBE-GGA relaxed
data_PuTiMn2
_chemical_formula_sum 'Pu1 Ti1 Mn2'
_cell_length_a 3.045
_cell_length_b 4.533
_cell_length_c 4.533
_cell_angle_alpha 90.00
_cell_angle_beta 90.00
_cell_angle_gamma 90.00
_space_group_name_H-M_alt 'P 1'
_space_group_IT_number 1
_space_group_name_Hall 'P 1'
loop_
_atom_site_label
_atom_site_fract_x
_atom_site_fract_y
_atom_site_fract_z
Mn1 0.000 0.500 0.000
Mn2 0.000 0.000 0.500
Pu1 0.500 0.000 0.000
Ti1 0.500 0.500 0.500
# Total magnetization in μB per formula unit: 1.6
# Volume in A^3/atom: 15.643

=====

*x*
# PuTiMn2 PBE-GGA relaxed
data_PuTiMn2
_chemical_formula_sum 'Pu1 Ti1 Mn2'
_cell_length_a 3.036
_cell_length_b 3.036
_cell_length_c 6.848
_cell_angle_alpha 90.00
_cell_angle_beta 90.00
_cell_angle_gamma 90.00
_space_group_name_H-M_alt 'P 1'
_space_group_IT_number 1
_space_group_name_Hall 'P 1'
loop_
_atom_site_label
_atom_site_fract_x
_atom_site_fract_y
_atom_site_fract_z
Ti1 0.500 0.500 0.500
Mn1 0.000 0.000 0.282
Mn2 0.000 0.000 0.718
Pu1 0.500 0.500 0.000
# Total magnetization in μB per formula unit: 1.8
# Volume in A^3/atom: 15.782

=====

*y*
# PuTiMn2 PBE-GGA relaxed
data_PuTiMn2
_chemical_formula_sum 'Pu1 Ti1 Mn2'
_cell_length_a 4.438
_cell_length_b 4.438
_cell_length_c 4.438
_cell_angle_alpha 60.00
_cell_angle_beta 60.00
_cell_angle_gamma 60.00
_space_group_name_H-M_alt 'P 1'
_space_group_IT_number 1
_space_group_name_Hall 'P 1'
loop_
_atom_site_label
_atom_site_fract_x
_atom_site_fract_y
_atom_site_fract_z
Mn1 0.750 0.750 0.750
Mn2 0.250 0.250 0.250
Ti1 0.500 0.500 0.500
Pu1 0.000 0.000 0.000
# Total magnetization in μB per formula unit: 2.1
# Volume in A^3/atom: 15.448

=====

Which of them is least stable? Easy: *y*.

=====

*w*
# Pu2MnTl PBE-GGA relaxed
data_Pu2MnTl
_chemical_formula_sum 'Pu2 Mn1 Tl1'
_cell_length_a 5.050
_cell_length_b 4.260
_cell_length_c 4.260
_cell_angle_alpha 90.00
_cell_angle_beta 90.00
_cell_angle_gamma 90.00
_space_group_name_H-M_alt 'P 1'
_space_group_IT_number 1
_space_group_name_Hall 'P 1'
loop_
_atom_site_label
_atom_site_fract_x
_atom_site_fract_y
_atom_site_fract_z
Tl1 0.500 0.500 0.500
Pu1 0.000 0.500 0.000
Pu2 0.000 0.000 0.500
Mn1 0.500 0.000 0.000
# Total magnetization in μB per formula unit: 14.9
# Volume in A^3/atom: 22.913

=====

*x*
# Pu2MnTl PBE-GGA relaxed
data_Pu2MnTl
_chemical_formula_sum 'Pu2 Mn1 Tl1'
_cell_length_a 3.308
_cell_length_b 3.308
_cell_length_c 10.763
_cell_angle_alpha 81.16
_cell_angle_beta 81.16
_cell_angle_gamma 60.00
_space_group_name_H-M_alt 'P 1'
_space_group_IT_number 1
_space_group_name_Hall 'P 1'
loop_
_atom_site_label
_atom_site_fract_x
_atom_site_fract_y
_atom_site_fract_z
Mn1 0.500 0.500 0.500
Pu1 0.896 0.896 0.311
Pu2 0.104 0.104 0.689
Tl1 0.000 0.000 0.000
# Total magnetization in μB per formula unit: 9.4
# Volume in A^3/atom: 25.091

=====

Which of them is least stable? Easy: *x*.